1.
Entry from the Alexandria database: a relaxed Nd2SmAg2 crystal (PBE).

total magnetization = 0.000 μB/atom
D(E_F) = 10.15 states/eV per cell
ΔH_f (0 K) = -189 meV per atom
polymorph energy (0 for the lowest one) = 0 meV per atom
calculated volume = 27.94 A^3/atom

abc: 13.936 13.936 5.400
angles: 90.00 90.00 164.55
Sites, in units of the cell vectors:
Nd 0.047 0.953 0.750
Nd 0.234 0.766 0.750
Nd 0.766 0.234 0.250
Nd 0.953 0.047 0.250
Sm 0.145 0.855 0.250
Sm 0.855 0.145 0.750
Ag 0.359 0.641 0.250
Ag 0.451 0.549 0.750
Ag 0.549 0.451 0.250
Ag 0.641 0.359 0.750

2.
Entry from the Alexandria database: a relaxed NdSm2Ag6 crystal (PBE).

total magnetization = 0.000 μB/atom
D(E_F) = 7.31 states/eV per cell
ΔH_f (0 K) = -191 meV per atom
polymorph energy (0 for the lowest one) = 65 meV per atom
calculated volume = 23.93 A^3/atom

abc: 8.640 8.640 8.640
angles: 155.89 124.67 61.21
Sites, in units of the cell vectors:
Nd 0.000 0.000 0.000
Sm 0.359 0.859 0.500
Sm 0.641 0.141 0.500
Ag 0.004 0.325 0.680
Ag 0.320 0.500 0.820
Ag 0.355 0.675 0.680
Ag 0.645 0.325 0.320
Ag 0.680 0.500 0.180
Ag 0.996 0.675 0.320

3.
Entry from the Alexandria database: a relaxed Nd5SmAg4 crystal (PBE).

total magnetization = 0.000 μB/atom
D(E_F) = 9.39 states/eV per cell
ΔH_f (0 K) = -203 meV per atom
calculated volume = 28.20 A^3/atom

abc: 3.727 3.727 20.299
angles: 90.00 90.00 90.00
Sites, in units of the cell vectors:
Nd 0.000 0.000 0.000
Nd 0.000 0.000 0.188
Nd 0.000 0.000 0.375
Nd 0.000 0.000 0.625
Nd 0.000 0.000 0.812
Sm 0.500 0.500 0.500
Ag 0.500 0.500 0.094
Ag 0.500 0.500 0.282
Ag 0.500 0.500 0.718
Ag 0.500 0.500 0.906

4.
Entry from the Alexandria database: a relaxed NdSm4Ag crystal (PBE).

total magnetization = 0.000 μB/atom
D(E_F) = 8.61 states/eV per cell
ΔH_f (0 K) = -70 meV per atom
polymorph energy (0 for the lowest one) = 0 meV per atom
calculated volume = 31.50 A^3/atom

abc: 3.655 3.655 14.146
angles: 90.00 90.00 90.00
Sites, in units of the cell vectors:
Nd 0.000 0.000 0.000
Sm 0.000 0.000 0.364
Sm 0.000 0.000 0.636
Sm 0.500 0.500 0.182
Sm 0.500 0.500 0.818
Ag 0.500 0.500 0.500

5.
Entry from the Alexandria database: a relaxed NdSm2Ag2 crystal (PBE).

total magnetization = 0.000 μB/atom
D(E_F) = 9.24 states/eV per cell
ΔH_f (0 K) = -199 meV per atom
polymorph energy (0 for the lowest one) = 0 meV per atom
calculated volume = 27.62 A^3/atom

abc: 3.726 5.394 13.867
angles: 90.00 97.68 90.00
Sites, in units of the cell vectors:
Nd 0.145 0.250 0.290
Nd 0.855 0.750 0.710
Sm 0.048 0.750 0.095
Sm 0.235 0.750 0.469
Sm 0.765 0.250 0.531
Sm 0.952 0.250 0.905
Ag 0.358 0.250 0.716
Ag 0.454 0.750 0.908
Ag 0.546 0.250 0.092
Ag 0.642 0.750 0.284

6.
Entry from the Alexandria database: a relaxed NdSmAg2 crystal (PBE).

total magnetization = 0.000 μB/atom
D(E_F) = 2.75 states/eV per cell
ΔH_f (0 K) = -270 meV per atom
calculated volume = 26.04 A^3/atom

abc: 3.731 3.731 7.480
angles: 90.00 90.00 90.00
Sites, in units of the cell vectors:
Nd 0.000 0.000 0.000
Sm 0.000 0.000 0.500
Ag 0.500 0.500 0.258
Ag 0.500 0.500 0.742

7.
Entry from the Alexandria database: a relaxed NdSmAg4 crystal (PBE).

total magnetization = 0.000 μB/atom
D(E_F) = 4.77 states/eV per cell
ΔH_f (0 K) = -155 meV per atom
polymorph energy (0 for the lowest one) = 102 meV per atom
calculated volume = 22.73 A^3/atom

abc: 5.778 5.778 5.778
angles: 60.00 60.00 60.00
Sites, in units of the cell vectors:
Nd 0.000 0.000 0.000
Sm 0.250 0.250 0.250
Ag 0.125 0.625 0.625
Ag 0.625 0.125 0.625
Ag 0.625 0.625 0.125
Ag 0.625 0.625 0.625

8.
Entry from the Alexandria database: a relaxed Nd3SmAg3 crystal (PBE).

total magnetization = 0.000 μB/atom
D(E_F) = 12.99 states/eV per cell
ΔH_f (0 K) = -114 meV per atom
calculated volume = 28.79 A^3/atom

abc: 7.501 7.501 7.185
angles: 90.64 90.64 94.25
Sites, in units of the cell vectors:
Nd 0.179 0.821 0.000
Nd 0.268 0.732 0.500
Nd 0.363 0.363 0.131
Nd 0.637 0.637 0.869
Nd 0.732 0.268 0.500
Nd 0.821 0.179 0.000
Sm 0.255 0.255 0.638
Sm 0.745 0.745 0.362
Ag 0.002 0.516 0.769
Ag 0.067 0.067 0.319
Ag 0.484 0.998 0.231
Ag 0.516 0.002 0.769
Ag 0.933 0.933 0.681
Ag 0.998 0.484 0.231

9.
Entry from the Alexandria database: a relaxed Nd3SmAg4 crystal (PBE).

total magnetization = 0.000 μB/atom
D(E_F) = 6.04 states/eV per cell
ΔH_f (0 K) = -264 meV per atom
calculated volume = 26.27 A^3/atom

abc: 3.743 3.743 15.005
angles: 90.00 90.00 90.00
Sites, in units of the cell vectors:
Nd 0.000 0.000 0.000
Nd 0.000 0.000 0.252
Nd 0.000 0.000 0.748
Sm 0.000 0.000 0.500
Ag 0.500 0.500 0.125
Ag 0.500 0.500 0.379
Ag 0.500 0.500 0.621
Ag 0.500 0.500 0.875

10.
Entry from the Alexandria database: a relaxed NdSm4Ag5 crystal (PBE).

total magnetization = 0.000 μB/atom
D(E_F) = 5.82 states/eV per cell
ΔH_f (0 K) = -276 meV per atom
calculated volume = 25.77 A^3/atom

abc: 3.694 3.694 18.890
angles: 90.00 90.00 90.00
Sites, in units of the cell vectors:
Nd 0.000 0.000 0.000
Sm 0.000 0.000 0.202
Sm 0.000 0.000 0.401
Sm 0.000 0.000 0.599
Sm 0.000 0.000 0.798
Ag 0.500 0.500 0.104
Ag 0.500 0.500 0.301
Ag 0.500 0.500 0.500
Ag 0.500 0.500 0.699
Ag 0.500 0.500 0.896

11.
Entry from the Alexandria database: a relaxed Nd2Sm3Ag2 crystal (PBE).

total magnetization = 0.000 μB/atom
D(E_F) = 8.62 states/eV per cell
ΔH_f (0 K) = -88 meV per atom
polymorph energy (0 for the lowest one) = 34 meV per atom
calculated volume = 30.16 A^3/atom

abc: 3.653 3.649 15.943
angles: 90.00 96.56 90.00
Sites, in units of the cell vectors:
Nd 0.202 0.000 0.403
Nd 0.798 0.000 0.597
Sm 0.380 0.500 0.760
Sm 0.500 0.500 0.000
Sm 0.620 0.500 0.240
Ag 0.060 0.000 0.119
Ag 0.940 0.000 0.881

12.
Entry from the Alexandria database: a relaxed Nd2SmAg crystal (PBE).

total magnetization = 0.000 μB/atom
D(E_F) = 6.38 states/eV per cell
ΔH_f (0 K) = -102 meV per atom
polymorph energy (0 for the lowest one) = 0 meV per atom
calculated volume = 30.71 A^3/atom

abc: 3.714 3.714 8.906
angles: 90.00 90.00 90.00
Sites, in units of the cell vectors:
Nd 0.000 0.000 0.216
Nd 0.000 0.000 0.784
Sm 0.500 0.500 0.500
Ag 0.500 0.500 0.000

Question: Which formula does entry 1 have?
Answer: Nd2SmAg2